First-principles (PBE-GGA) data for an optimized crystal structure of BeInCu2Os, as listed in Alexandria.

The structure belongs to space group P4/mmm (No. 123); the cell edges are 4.612, 4.612 and 5.007 Å and the angles 90.00°, 90.00° and 90.00°. Symmetry generates all atoms from Be at (0.000, 0.000, 0.000), In at (0.500, 0.500, 0.500), Cu at (0.000, 0.500, 0.500) and Os at (0.500, 0.500, 0.000).

The energy of formation from the pure elements is 1.869 eV per atom. For the energy, the calculation gives -16.54 eV per cell. The calculation puts the volume at 106.5 Å³/f.u.

First-principles (PBE-GGA) data for an optimized crystal structure of BeInCu2Ru, as listed in Alexandria.

The structure belongs to space group P4/mmm (No. 123); the cell edges are 4.640, 4.640 and 4.978 Å and the angles 90.00°, 90.00° and 90.00°. Symmetry generates all atoms from Be at (0.000, 0.000, 0.000), In at (0.500, 0.500, 0.500), Cu at (0.000, 0.500, 0.500) and Ru at (0.500, 0.500, 0.000).

The energy of formation from the pure elements is 1.614 eV per atom. For the energy, the calculation gives -15.86 eV per cell. The calculation puts the volume at 107.2 Å³/f.u.

First-principles (PBE-GGA) data for an optimized crystal structure of BeInCu2S, as listed in Alexandria.

The structure belongs to space group P4/mmm (No. 123); the cell edges are 4.869, 4.869 and 4.536 Å and the angles 90.00°, 90.00° and 90.00°. Symmetry generates all atoms from Be at (0.000, 0.000, 0.000), In at (0.000, 0.000, 0.500), Cu at (0.000, 0.500, 0.500) and S at (0.500, 0.500, 0.000).

For the energy, the calculation gives -13.02 eV per cell. The calculation puts the volume at 107.5 Å³/f.u.

First-principles (PBE-GGA) data for an optimized crystal structure of Sc2BeInCu, as listed in Alexandria.

The structure belongs to space group P4/mmm (No. 123); the cell edges are 4.899, 4.899 and 4.753 Å and the angles 90.00°, 90.00° and 90.00°. Symmetry generates all atoms from Sc at (0.000, 0.500, 0.000), Be at (0.000, 0.000, 0.500), In at (0.500, 0.500, 0.500) and Cu at (0.500, 0.500, 0.000).

The energy of formation from the pure elements is 0.473 eV per atom. For the energy, the calculation gives -20.86 eV per cell. The calculation puts the volume at 114.1 Å³/f.u.

First-principles (PBE-GGA) data for an optimized crystal structure of TaBeInCu2, as listed in Alexandria.

The structure belongs to space group P4/mmm (No. 123); the cell edges are 4.607, 4.607 and 5.208 Å and the angles 90.00°, 90.00° and 90.00°. Symmetry generates all atoms from Ta at (0.000, 0.000, 0.000), Be at (0.500, 0.500, 0.000), In at (0.000, 0.000, 0.500) and Cu at (0.000, 0.500, 0.500).

The energy of formation from the pure elements is 1.695 eV per atom. For the energy, the calculation gives -18.04 eV per cell. The calculation puts the volume at 110.5 Å³/f.u.

First-principles (PBE-GGA) data for an optimized crystal structure of BeInCu2Tc, as listed in Alexandria.

The structure belongs to space group P4/mmm (No. 123); the cell edges are 4.586, 4.586 and 5.069 Å and the angles 90.00°, 90.00° and 90.00°. Symmetry generates all atoms from Be at (0.000, 0.000, 0.000), In at (0.500, 0.500, 0.000), Cu at (0.000, 0.500, 0.500) and Tc at (0.500, 0.500, 0.500).

The energy of formation from the pure elements is 1.544 eV per atom. For the energy, the calculation gives -17.30 eV per cell. The calculation puts the volume at 106.6 Å³/f.u.